1:
Here is Zr2HgTe at its PBEsol-relaxed geometry from Alexandria via LeMat-Bulk. Energies are from SCAN.

## Properties
- calculated volume (Å³ per cell) = 85
- total magnetic moment (μB per formula unit) = 0.0

abc: 5.007 5.007 3.449
angles: 90.00 90.00 99.57
Element x y z (fractional)
Zr (0.000, 0.500, 0.000)
Zr (0.500, 0.000, 0.000)
Hg (0.000, 0.000, 0.500)
Te (0.500, 0.500, 0.500)

2:
Here is Zr2HgTe at its PBEsol-relaxed geometry from Alexandria via LeMat-Bulk. Energies are from SCAN.

## Properties
- calculated volume (Å³ per cell) = 97
- total magnetic moment (μB per formula unit) = 0.0

abc: 9.410 9.410 9.410
angles: 21.34 21.34 21.34
Element x y z (fractional)
Zr (0.000, 0.000, 0.000)
Zr (0.249, 0.249, 0.249)
Hg (0.748, 0.748, 0.748)
Te (0.508, 0.508, 0.508)

Relative energies, kJ/mol of atoms: 1 0.0; 2 24.1.

1:
Here is Ti3Hg at its PBEsol-relaxed geometry from Alexandria via LeMat-Bulk. Energies are from SCAN.

## Properties
- calculated volume (Å³ per cell) = 68
- total magnetic moment (μB per formula unit) = 0.0

abc: 4.074 4.074 4.074
angles: 90.00 90.00 90.00
Element x y z (fractional)
Ti (0.000, 0.000, 0.500)
Ti (0.000, 0.500, 0.000)
Ti (0.500, 0.000, 0.000)
Hg (0.500, 0.500, 0.500)

2:
Here is Ti3Hg at its PBEsol-relaxed geometry from Alexandria via LeMat-Bulk. Energies are from SCAN.

## Properties
- calculated volume (Å³ per cell) = 134
- total magnetic moment (μB per formula unit) = 0.0

abc: 5.117 5.117 5.117
angles: 90.00 90.00 90.00
Element x y z (fractional)
Ti (0.000, 0.250, 0.500)
Ti (0.000, 0.750, 0.500)
Ti (0.250, 0.500, 0.000)
Ti (0.500, 0.000, 0.250)
Ti (0.500, 0.000, 0.750)
Ti (0.750, 0.500, 0.000)
Hg (0.000, 0.000, 0.000)
Hg (0.500, 0.500, 0.500)

Relative energies, kJ/mol of atoms: 1 8.3; 2 0.0.

1:
Here is TlHg2W at its PBEsol-relaxed geometry from Alexandria via LeMat-Bulk. Energies are from SCAN.

## Properties
- calculated volume (Å³ per cell) = 82
- total magnetic moment (μB per formula unit) = 0.0

abc: 2.974 4.804 5.809
angles: 90.00 98.94 90.00
Element x y z (fractional)
Tl (0.000, 0.000, 0.000)
Hg (0.401, 0.500, 0.727)
Hg (0.599, 0.500, 0.273)
W (0.000, 0.000, 0.500)

2:
Here is TlHg2W at its PBEsol-relaxed geometry from Alexandria via LeMat-Bulk. Energies are from SCAN.

## Properties
- calculated volume (Å³ per cell) = 85
- total magnetic moment (μB per formula unit) = 3.2

abc: 4.926 4.926 4.926
angles: 60.00 60.00 60.00
Element x y z (fractional)
Tl (0.000, 0.000, 0.000)
Hg (0.250, 0.250, 0.250)
Hg (0.750, 0.750, 0.750)
W (0.500, 0.500, 0.500)

3:
Here is TlHg2W at its PBEsol-relaxed geometry from Alexandria via LeMat-Bulk. Energies are from SCAN.

## Properties
- calculated volume (Å³ per cell) = 84
- total magnetic moment (μB per formula unit) = 0.0

abc: 2.903 2.903 9.991
angles: 90.00 90.00 90.00
Element x y z (fractional)
Tl (0.000, 0.000, 0.000)
Hg (0.000, 0.000, 0.448)
Hg (0.500, 0.500, 0.714)
W (0.500, 0.500, 0.239)

4:
Here is TlHg2W at its PBEsol-relaxed geometry from Alexandria via LeMat-Bulk. Energies are from SCAN.

## Properties
- calculated volume (Å³ per cell) = 88
- total magnetic moment (μB per formula unit) = 0.8

abc: 6.794 6.794 6.794
angles: 155.27 137.93 49.41
Element x y z (fractional)
Tl (0.000, 0.000, 0.000)
Hg (0.301, 0.801, 0.500)
Hg (0.699, 0.199, 0.500)
W (0.500, 0.500, 0.000)

Relative energies, kJ/mol of atoms: 1 17.7; 2 43.8; 3 5.5; 4 0.0.

1:
Here is Tl2ZnHg at its PBEsol-relaxed geometry from Alexandria via LeMat-Bulk. Energies are from SCAN.

## Properties
- calculated volume (Å³ per cell) = 96
- total magnetic moment (μB per formula unit) = 0.0

abc: 9.401 9.401 9.401
angles: 21.35 21.35 21.35
Element x y z (fractional)
Tl (0.000, 0.000, 0.000)
Tl (0.235, 0.235, 0.235)
Zn (0.490, 0.490, 0.490)
Hg (0.756, 0.756, 0.756)

2:
Here is Tl2ZnHg at its PBEsol-relaxed geometry from Alexandria via LeMat-Bulk. Energies are from SCAN.

## Properties
- calculated volume (Å³ per cell) = 96
- total magnetic moment (μB per formula unit) = 0.0

abc: 6.065 6.065 6.065
angles: 146.76 127.80 63.30
Element x y z (fractional)
Tl (0.000, 0.000, 0.000)
Tl (0.714, 0.214, 0.500)
Zn (0.232, 0.732, 0.500)
Hg (0.439, 0.439, 0.000)

3:
Here is Tl2ZnHg at its PBEsol-relaxed geometry from Alexandria via LeMat-Bulk. Energies are from SCAN.

## Properties
- calculated volume (Å³ per cell) = 95
- total magnetic moment (μB per formula unit) = 0.0

abc: 3.403 3.403 8.165
angles: 90.00 90.00 90.00
Element x y z (fractional)
Tl (0.000, 0.000, 0.000)
Tl (0.500, 0.500, 0.305)
Zn (0.000, 0.000, 0.543)
Hg (0.500, 0.500, 0.727)

Relative energies, kJ/mol of atoms: 1 0.0; 2 2.4; 3 0.8.

1:
Here is ZrTl2Hg at its PBEsol-relaxed geometry from Alexandria via LeMat-Bulk. Energies are from SCAN.

## Properties
- calculated volume (Å³ per cell) = 97
- total magnetic moment (μB per formula unit) = 0.0

abc: 3.239 3.239 10.172
angles: 90.00 90.00 115.21
Element x y z (fractional)
Zr (0.000, 0.000, 0.000)
Tl (0.000, 0.000, 0.490)
Tl (0.500, 0.500, 0.756)
Hg (0.500, 0.500, 0.230)

2:
Here is ZrTl2Hg at its PBEsol-relaxed geometry from Alexandria via LeMat-Bulk. Energies are from SCAN.

## Properties
- calculated volume (Å³ per cell) = 92
- total magnetic moment (μB per formula unit) = 0.0

abc: 3.646 3.646 6.908
angles: 90.00 90.00 90.00
Element x y z (fractional)
Zr (0.000, 0.000, 0.000)
Tl (0.500, 0.500, 0.250)
Tl (0.500, 0.500, 0.750)
Hg (0.000, 0.000, 0.500)

Relative energies, kJ/mol of atoms: 1 0.0; 2 3.8.

1:
Here is YHg2W at its PBEsol-relaxed geometry from Alexandria via LeMat-Bulk. Energies are from SCAN.

## Properties
- calculated volume (Å³ per cell) = 82
- total magnetic moment (μB per formula unit) = 1.2

abc: 4.870 4.870 4.870
angles: 60.00 60.00 60.00
Element x y z (fractional)
Y (0.000, 0.000, 0.000)
Hg (0.250, 0.250, 0.250)
Hg (0.750, 0.750, 0.750)
W (0.500, 0.500, 0.500)

2:
Here is YHg2W at its PBEsol-relaxed geometry from Alexandria via LeMat-Bulk. Energies are from SCAN.

## Properties
- calculated volume (Å³ per cell) = 80
- total magnetic moment (μB per formula unit) = 0.0

abc: 3.049 4.211 6.209
angles: 90.00 90.00 90.00
Element x y z (fractional)
Y (0.000, 0.000, 0.000)
Hg (0.500, 0.500, 0.271)
Hg (0.500, 0.500, 0.729)
W (0.000, 0.000, 0.500)

Relative energies, kJ/mol of atoms: 1 12.2; 2 0.0.